Entry 1:
# Pm3Er4Tm2 (PBE, optimized geometry)
data_Pm3Er4Tm2
_chemical_formula_sum 'Pm3 Er4 Tm2'
_space_group_name_H-M_alt 'P 1'
_space_group_IT_number 1
_space_group_name_Hall 'P 1'
_cell_length_a 6.137
_cell_length_b 6.143
_cell_length_c 9.383
_cell_angle_alpha 108.93
_cell_angle_beta 90.06
_cell_angle_gamma 119.91
loop_
_atom_site_label
_atom_site_type_symbol
_atom_site_fract_x
_atom_site_fract_y
_atom_site_fract_z
_atom_site_occupancy
Pm1 Pm 0.000 0.000 0.000 1
Pm2 Pm 0.112 0.556 0.333 1
Pm3 Pm 0.888 0.444 0.667 1
Er1 Er 0.223 0.113 0.667 1
Er2 Er 0.335 0.668 0.000 1
Er3 Er 0.665 0.332 0.000 1
Er4 Er 0.777 0.887 0.333 1
Tm1 Tm 0.445 0.223 0.334 1
Tm2 Tm 0.555 0.777 0.666 1
# **Relative energy among the computed polymorphs**: 0.0 meV per atom
# **Symmetry**: P-1, No. 2
# **Formation enthalpy at 0 K**: 0.0206 eV/atom

***

Entry 2:
# NdMgAgPt (PBE, optimized geometry)
data_NdMgAgPt
_chemical_formula_sum 'Nd1 Mg1 Ag1 Pt1'
_space_group_name_H-M_alt 'P 1'
_space_group_IT_number 1
_space_group_name_Hall 'P 1'
_cell_length_a 4.955
_cell_length_b 4.955
_cell_length_c 4.955
_cell_angle_alpha 60.00
_cell_angle_beta 60.00
_cell_angle_gamma 60.00
loop_
_atom_site_label
_atom_site_type_symbol
_atom_site_fract_x
_atom_site_fract_y
_atom_site_fract_z
_atom_site_occupancy
Nd1 Nd 0.000 0.000 0.000 1
Mg1 Mg 0.500 0.500 0.500 1
Ag1 Ag 0.750 0.750 0.750 1
Pt1 Pt 0.250 0.250 0.250 1
# **Symmetry**: F-43m, No. 216
# **Formation enthalpy at 0 K**: -0.5988 eV/atom

***

Entry 3:
# BaAlMo2 (PBE, optimized geometry)
data_BaAlMo2
_chemical_formula_sum 'Ba1 Al1 Mo2'
_space_group_name_H-M_alt 'P 1'
_space_group_IT_number 1
_space_group_name_Hall 'P 1'
_cell_length_a 4.927
_cell_length_b 4.927
_cell_length_c 4.927
_cell_angle_alpha 60.00
_cell_angle_beta 60.00
_cell_angle_gamma 60.00
loop_
_atom_site_label
_atom_site_type_symbol
_atom_site_fract_x
_atom_site_fract_y
_atom_site_fract_z
_atom_site_occupancy
Ba1 Ba 0.000 0.000 0.000 1
Al1 Al 0.750 0.750 0.750 1
Mo1 Mo 0.250 0.250 0.250 1
Mo2 Mo 0.500 0.500 0.500 1
# **Symmetry**: F-43m, No. 216
# **Formation enthalpy at 0 K**: 1.0118 eV/atom

***

Entry 4:
# ZrCd2Co (PBE, optimized geometry)
data_ZrCd2Co
_chemical_formula_sum 'Zr1 Cd2 Co1'
_space_group_name_H-M_alt 'P 1'
_space_group_IT_number 1
_space_group_name_Hall 'P 1'
_cell_length_a 4.709
_cell_length_b 4.709
_cell_length_c 4.709
_cell_angle_alpha 120.18
_cell_angle_beta 120.18
_cell_angle_gamma 89.69
loop_
_atom_site_label
_atom_site_type_symbol
_atom_site_fract_x
_atom_site_fract_y
_atom_site_fract_z
_atom_site_occupancy
Zr1 Zr 0.000 0.000 0.000 1
Cd1 Cd 0.250 0.750 0.500 1
Cd2 Cd 0.500 0.500 0.000 1
Co1 Co 0.750 0.250 0.500 1
# **Relative energy among the computed polymorphs**: 140.8 meV per atom
# **Symmetry**: I-4m2, No. 119
# **Formation enthalpy at 0 K**: 0.0683 eV/atom

***

Entry 5:
# FeAg4Se (PBE, optimized geometry)
data_FeAg4Se
_chemical_formula_sum 'Fe1 Ag4 Se1'
_space_group_name_H-M_alt 'P 1'
_space_group_IT_number 1
_space_group_name_Hall 'P 1'
_cell_length_a 5.473
_cell_length_b 5.473
_cell_length_c 5.473
_cell_angle_alpha 60.00
_cell_angle_beta 60.00
_cell_angle_gamma 60.00
loop_
_atom_site_label
_atom_site_type_symbol
_atom_site_fract_x
_atom_site_fract_y
_atom_site_fract_z
_atom_site_occupancy
Fe1 Fe 0.000 0.000 0.000 1
Ag1 Ag 0.374 0.374 0.374 1
Ag2 Ag 0.374 0.374 0.877 1
Ag3 Ag 0.374 0.877 0.374 1
Ag4 Ag 0.877 0.374 0.374 1
Se1 Se 0.750 0.750 0.750 1
# **Symmetry**: F-43m, No. 216
# **Calculated total energy**: -20.4 eV/cell

***

Entry 6:
# InTcB3 (PBE, optimized geometry)
data_InTcB3
_chemical_formula_sum 'In1 Tc1 B3'
_space_group_name_H-M_alt 'P 1'
_space_group_IT_number 1
_space_group_name_Hall 'P 1'
_cell_length_a 4.256
_cell_length_b 4.256
_cell_length_c 4.256
_cell_angle_alpha 90.00
_cell_angle_beta 90.00
_cell_angle_gamma 90.00
loop_
_atom_site_label
_atom_site_type_symbol
_atom_site_fract_x
_atom_site_fract_y
_atom_site_fract_z
_atom_site_occupancy
In1 In 0.000 0.000 0.000 1
Tc1 Tc 0.500 0.500 0.500 1
B1 B 0.000 0.000 0.500 1
B2 B 0.000 0.500 0.000 1
B3 B 0.500 0.000 0.000 1
# **Relative energy among the computed polymorphs**: 1808.5 meV per atom
# **Symmetry**: Pm-3m, No. 221
# **Formation enthalpy at 0 K**: 2.8165 eV/atom

***

Entry 7:
# IrSe3 (PBE, optimized geometry)
data_IrSe3
_chemical_formula_sum 'Ir1 Se3'
_space_group_name_H-M_alt 'P 1'
_space_group_IT_number 1
_space_group_name_Hall 'P 1'
_cell_length_a 4.966
_cell_length_b 4.966
_cell_length_c 4.966
_cell_angle_alpha 90.00
_cell_angle_beta 90.00
_cell_angle_gamma 90.00
loop_
_atom_site_label
_atom_site_type_symbol
_atom_site_fract_x
_atom_site_fract_y
_atom_site_fract_z
_atom_site_occupancy
Ir1 Ir 0.000 0.000 0.000 1
Se1 Se 0.000 0.000 0.500 1
Se2 Se 0.000 0.500 0.000 1
Se3 Se 0.500 0.000 0.000 1
# **Relative energy among the computed polymorphs**: 878.5 meV per atom
# **Symmetry**: Pm-3m, No. 221

***

Entry 8:
# SrMg2Ni9 (PBE, optimized geometry)
data_SrMg2Ni9
_chemical_formula_sum 'Sr2 Mg4 Ni18'
_space_group_name_H-M_alt 'P 1'
_space_group_IT_number 1
_space_group_name_Hall 'P 1'
_cell_length_a 8.283
_cell_length_b 8.283
_cell_length_c 4.838
_cell_angle_alpha 90.00
_cell_angle_beta 90.00
_cell_angle_gamma 90.00
loop_
_atom_site_label
_atom_site_type_symbol
_atom_site_fract_x
_atom_site_fract_y
_atom_site_fract_z
_atom_site_occupancy
Sr1 Sr 0.000 0.000 0.000 1
Sr2 Sr 0.500 0.500 0.000 1
Mg1 Mg 0.120 0.380 0.000 1
Mg2 Mg 0.380 0.880 0.000 1
Mg3 Mg 0.620 0.120 0.000 1
Mg4 Mg 0.880 0.620 0.000 1
Ni1 Ni 0.000 0.500 0.500 1
Ni2 Ni 0.066 0.215 0.500 1
Ni3 Ni 0.177 0.677 0.250 1
Ni4 Ni 0.177 0.677 0.750 1
Ni5 Ni 0.215 0.934 0.500 1
Ni6 Ni 0.285 0.434 0.500 1
Ni7 Ni 0.323 0.177 0.250 1
Ni8 Ni 0.323 0.177 0.750 1
Ni9 Ni 0.434 0.715 0.500 1
Ni10 Ni 0.500 0.000 0.500 1
Ni11 Ni 0.566 0.285 0.500 1
Ni12 Ni 0.677 0.823 0.250 1
Ni13 Ni 0.677 0.823 0.750 1
Ni14 Ni 0.715 0.566 0.500 1
Ni15 Ni 0.785 0.066 0.500 1
Ni16 Ni 0.823 0.323 0.250 1
Ni17 Ni 0.823 0.323 0.750 1
Ni18 Ni 0.934 0.785 0.500 1
# **Symmetry**: P4/mbm, No. 127
# **Formation enthalpy at 0 K**: -0.1186 eV/atom

***

Entry 9:
# Rb2ScTl2Cl6 (PBE, optimized geometry)
data_Rb2ScTl2Cl6
_chemical_formula_sum 'Rb2 Sc1 Tl2 Cl6'
_space_group_name_H-M_alt 'P 1'
_space_group_IT_number 1
_space_group_name_Hall 'P 1'
_cell_length_a 7.755
_cell_length_b 7.755
_cell_length_c 8.608
_cell_angle_alpha 99.19
_cell_angle_beta 99.19
_cell_angle_gamma 120.28
loop_
_atom_site_label
_atom_site_type_symbol
_atom_site_fract_x
_atom_site_fract_y
_atom_site_fract_z
_atom_site_occupancy
Rb1 Rb 0.163 0.837 0.000 1
Rb2 Rb 0.837 0.163 0.000 1
Sc1 Sc 0.500 0.500 0.000 1
Tl1 Tl 0.242 0.758 0.500 1
Tl2 Tl 0.758 0.242 0.500 1
Cl1 Cl 0.175 0.175 0.814 1
Cl2 Cl 0.298 0.563 0.180 1
Cl3 Cl 0.437 0.702 0.820 1
Cl4 Cl 0.563 0.298 0.180 1
Cl5 Cl 0.702 0.437 0.820 1
Cl6 Cl 0.825 0.825 0.186 1
# **Symmetry**: C2/m, No. 12
# **Calculated total energy**: -41.6 eV/cell

***

Entry 10:
# NbCuH3 (PBE, optimized geometry)
data_NbCuH3
_chemical_formula_sum 'Nb1 Cu1 H3'
_space_group_name_H-M_alt 'P 1'
_space_group_IT_number 1
_space_group_name_Hall 'P 1'
_cell_length_a 3.593
_cell_length_b 3.593
_cell_length_c 3.593
_cell_angle_alpha 90.00
_cell_angle_beta 90.00
_cell_angle_gamma 90.00
loop_
_atom_site_label
_atom_site_type_symbol
_atom_site_fract_x
_atom_site_fract_y
_atom_site_fract_z
_atom_site_occupancy
Nb1 Nb 0.000 0.000 0.000 1
Cu1 Cu 0.500 0.500 0.500 1
H1 H 0.000 0.000 0.500 1
H2 H 0.000 0.500 0.000 1
H3 H 0.500 0.000 0.000 1
# **Symmetry**: Pm-3m, No. 221
# **Calculated total energy**: -22.5 eV/cell

***

Entry 11:
# MnTlZn3 (PBE, optimized geometry)
data_MnTlZn3
_chemical_formula_sum 'Mn1 Tl1 Zn3'
_space_group_name_H-M_alt 'P 1'
_space_group_IT_number 1
_space_group_name_Hall 'P 1'
_cell_length_a 4.853
_cell_length_b 4.853
_cell_length_c 4.853
_cell_angle_alpha 90.00
_cell_angle_beta 90.00
_cell_angle_gamma 90.00
loop_
_atom_site_label
_atom_site_type_symbol
_atom_site_fract_x
_atom_site_fract_y
_atom_site_fract_z
_atom_site_occupancy
Mn1 Mn 0.000 0.000 0.000 1
Tl1 Tl 0.500 0.500 0.500 1
Zn1 Zn 0.000 0.000 0.500 1
Zn2 Zn 0.000 0.500 0.000 1
Zn3 Zn 0.500 0.000 0.000 1
# **Relative energy among the computed polymorphs**: 0.0 meV per atom
# **Symmetry**: Pm-3m, No. 221
# **Formation enthalpy at 0 K**: 0.4870 eV/atom

***

What did the seventh record say?
# IrSe3 (PBE, optimized geometry)
data_IrSe3
_chemical_formula_sum 'Ir1 Se3'
_space_group_name_H-M_alt 'P 1'
_space_group_IT_number 1
_space_group_name_Hall 'P 1'
_cell_length_a 4.966
_cell_length_b 4.966
_cell_length_c 4.966
_cell_angle_alpha 90.00
_cell_angle_beta 90.00
_cell_angle_gamma 90.00
loop_
_atom_site_label
_atom_site_type_symbol
_atom_site_fract_x
_atom_site_fract_y
_atom_site_fract_z
_atom_site_occupancy
Ir1 Ir 0.000 0.000 0.000 1
Se1 Se 0.000 0.000 0.500 1
Se2 Se 0.000 0.500 0.000 1
Se3 Se 0.500 0.000 0.000 1
# **Relative energy among the computed polymorphs**: 878.5 meV per atom
# **Symmetry**: Pm-3m, No. 221